Record 1
The following is a DFT calculation (PBE) of a relaxed structure of Tm3Sc2Pd3.

Structure (CIF):
```
data_Tm3Sc2Pd3
_chemical_formula_sum 'Tm6 Sc4 Pd6'
_symmetry_space_group_name_H-M 'I m m m'
_symmetry_Int_Tables_number 71
_symmetry_space_group_name_Hall '-I 2 2'
_cell_length_a 3.431
_cell_length_b 4.957
_cell_length_c 20.434
_cell_angle_alpha 90.00
_cell_angle_beta 90.00
_cell_angle_gamma 90.00
loop_
_atom_site_label
_atom_site_type_symbol
_atom_site_fract_x
_atom_site_fract_y
_atom_site_fract_z
_atom_site_occupancy
Tm1 Tm 0.000 0.000 0.000 1
Tm2 Tm 0.000 0.500 0.120 1
Sc1 Sc 0.000 0.000 0.230 1
Pd1 Pd 0.000 0.000 0.500 1
Pd2 Pd 0.000 0.500 0.380 1
```

Properties
density: 8.75 g/cm³

Record 2
The following is a DFT calculation (PBE) of a relaxed structure of YTmScPd.

Structure (CIF):
```
data_YTmScPd
_chemical_formula_sum 'Y4 Tm4 Sc4 Pd4'
_symmetry_space_group_name_H-M 'F -4 3 m'
_symmetry_Int_Tables_number 216
_symmetry_space_group_name_Hall 'F -4 2 3'
_cell_length_a 7.261
_cell_length_b 7.261
_cell_length_c 7.261
_cell_angle_alpha 90.00
_cell_angle_beta 90.00
_cell_angle_gamma 90.00
loop_
_atom_site_label
_atom_site_type_symbol
_atom_site_fract_x
_atom_site_fract_y
_atom_site_fract_z
_atom_site_occupancy
Y1 Y 0.000 0.000 0.000 1
Tm1 Tm 0.000 0.000 0.500 1
Sc1 Sc 0.250 0.250 0.750 1
Pd1 Pd 0.250 0.250 0.250 1
```

Properties
density: 7.10 g/cm³

Number 1: energy of formation -0.695 eV/atom, DOS(E_F) 15.15 states/eV per cell, DFT total energy -5.902 eV per atom. Number 2: energy of formation -0.197 eV/atom, DOS(E_F) 16.76 states/eV per cell, DFT total energy -5.812 eV per atom.